DFT (PBE-GGA) results for a relaxed structure of Mn3NbBi.

ΔH_f (0 K)   11.14 eV/f.u.
ρ   7.808 g cm⁻³
Calculated volume   99.3 Å³/cell

Cell: 4.6301 4.6301 4.6301 Å, 90.00 90.00 90.00°
Space group Pm-3m (No. 221)
Symmetry-distinct sites (fractional):
Mn 0.0000 0.0000 0.5000
Nb 0.5000 0.5000 0.5000
Bi 0.0000 0.0000 0.0000